Compound: Li2Re2F
Source: Alexandria
Functional: GGA-PBE
Structure: relaxed

Cell and atoms, written as CIF:
```
data_Li2Re2F
_cell_length_a 7.794
_cell_length_b 7.794
_cell_length_c 2.693
_cell_angle_alpha 90.00
_cell_angle_beta 90.00
_cell_angle_gamma 90.00
_symmetry_space_group_name_H-M 'P 4/m b m'
_symmetry_Int_Tables_number 127
_symmetry_space_group_name_Hall '-P 4 2ab'
loop_
_atom_site_label
_atom_site_fract_x
_atom_site_fract_y
_atom_site_fract_z
Li1 0.190 0.310 0.000
Re1 0.101 0.601 0.500
F1 0.000 0.000 0.000
```

## Properties
For the density of states at the Fermi level, the calculation gives 2.648 states/eV/f.u. Its energy above the lowest structure with this stoichiometry is 0.707 eV/atom. The formation energy without anion corrections comes out at 0.5420 eV/atom. The value obtained for the electronic total energy is -5.577 eV/atom.